Density functional theory data (PBE-GGA) for crystalline TaAl2Ag at its relaxed geometry.

## Properties
excess energy over the best structure of this formula in the dataset = 141 meV/atom
electronic total energy = -5.55 eV/atom
space-group type = R3m, No. 160
energy of formation = 0 meV/atom

```
TaAl2Ag
1.0
9.4351 -0.0031 -0.0018
8.9849 2.8795 -0.0018
8.9849 1.4031 2.5146
Al Ag Ta
2 1 1
direct
0.9996 0.9996 0.9996 Al
0.2519 0.2519 0.2519 Al
0.7461 0.7461 0.7461 Ag
0.5024 0.5024 0.5024 Ta
```